P) ## In2SeCl2 (PBE)

Data for In2SeCl2 after structural relaxation.

Unit cell a=7.313 b=7.498 c=13.547 alpha=90.00 beta=112.18 gamma=90.00
Fractional coordinates of all 20 atoms:
In: 0.670 0.976 0.886
In: 0.311 0.134 0.520
In: 0.830 0.476 0.114
In: 0.170 0.524 0.886
In: 0.330 0.024 0.114
In: 0.811 0.366 0.520
In: 0.689 0.866 0.480
In: 0.189 0.634 0.480
Cl: 0.688 0.616 0.622
Cl: 0.812 0.116 0.378
Cl: 0.312 0.384 0.378
Cl: 0.188 0.884 0.622
Cl: 0.489 0.250 0.983
Cl: 0.511 0.750 0.017
Cl: 0.011 0.750 0.017
Cl: 0.989 0.250 0.983
Se: 0.207 0.387 0.625
Se: 0.707 0.113 0.625
Se: 0.793 0.613 0.375
Se: 0.293 0.887 0.375

Summary:
Size of the total moment = 0.000 μB/f.u.
SG = P2_1/c (14)


Q) ## In2SeCl2 (PBE)

Data for In2SeCl2 after structural relaxation.

Unit cell a=6.213 b=6.213 c=6.213 alpha=129.29 beta=129.29 gamma=74.55
Fractional coordinates of all 5 atoms:
Cl: 0.654 0.654 0.000
Cl: 0.346 0.346 0.000
In: 0.250 0.750 0.500
In: 0.750 0.250 0.500
Se: 0.000 0.000 0.000

Summary:
Size of the total moment = 0.000 μB/f.u.
Density of states at the Fermi level = 2.37 states/eV per cell
SG = I4/mmm (139)


Out of the structures above, which one is the most stable? Solution: P).